4
Lattice="-0.2094 1.9145 3.1687 -1.7602 -2.8436 1.6018 8.1976 -3.5583 2.6916" Properties=species:S:1:pos:R:3 comment="Dy2ThI, relaxed, DFT PBE" spacegroup="P4/mmm (123)" formation_energy_uncorrected_ev_per_atom=-0.292 dft_energy_ha_per_atom=-0.178 de_polymorph_ev_per_atom=0.076 n_ef_per_ev_cell=2.5 pbc="T T T"
Th 3.1140 -2.2437 3.7310
Dy 6.1365 -2.6636 2.0149
Dy 2.0611 -0.8946 0.6767
I -0.9848 -0.4645 2.3852